1.
DFT (PBE) results for BaCoAsOs2 after structural relaxation.

Its density of states at the Fermi level is 7.42 states/eV/f.u. Its density is 8.9 Mg/m³. Its final energy is -20.00 eV per cell. The formation energy is 3227 meV per atom.

The space group is P4/mmm (No. 123) and the conventional cell measures 5.067, 5.067 and 4.712 Å, with angles of 90.00, 90.00 and 90.00 degrees. Symmetry generates all atoms from Ba at (0.000, 0.000, 0.000), Co at (0.000, 0.000, 0.500), As at (0.500, 0.500, 0.500) and Os at (0.000, 0.500, 0.000).

2.
DFT (PBE) results for BaCo2AsPt after structural relaxation.

Its density of states at the Fermi level is 10.74 states/eV/f.u. Its density is 7.0 Mg/m³. Its final energy is -24.41 eV per cell. The formation energy is 484 meV per atom.

The space group is P4/mmm (No. 123) and the conventional cell measures 4.455, 4.455 and 6.242 Å, with angles of 90.00, 90.00 and 90.00 degrees. Symmetry generates all atoms from Ba at (0.000, 0.000, 0.000), Co at (0.000, 0.500, 0.500), As at (0.000, 0.000, 0.500) and Pt at (0.500, 0.500, 0.000).

3.
DFT (PBE) results for BaCo2ReAs after structural relaxation.

Its density of states at the Fermi level is 17.85 states/eV/f.u. Its density is 7.5 Mg/m³. Its final energy is -18.68 eV per cell. The formation energy is 2909 meV per atom.

The space group is P4/mmm (No. 123) and the conventional cell measures 4.588, 4.588 and 5.418 Å, with angles of 90.00, 90.00 and 90.00 degrees. Symmetry generates all atoms from Ba at (0.000, 0.000, 0.000), Co at (0.000, 0.500, 0.000), Re at (0.500, 0.500, 0.500) and As at (0.000, 0.000, 0.500).

4.
DFT (PBE) results for Ba2CoAsS after structural relaxation.

Its density of states at the Fermi level is 5.29 states/eV/f.u. The energy relative to the elements, uncorrected is -0.636 eV/atom. Its density is 4.3 Mg/m³. Its final energy is -22.91 eV per cell.

The space group is P4/mmm (No. 123) and the conventional cell measures 6.220, 6.220 and 4.361 Å, with angles of 90.00, 90.00 and 90.00 degrees. Symmetry generates all atoms from Ba at (0.000, 0.500, 0.000), Co at (0.000, 0.000, 0.500), As at (0.000, 0.000, 0.000) and S at (0.500, 0.500, 0.500).

5.
DFT (PBE) results for BaCoAs2S8 after structural relaxation.

Its density of states at the Fermi level is 11.86 states/eV/f.u. The energy relative to the elements, uncorrected is -0.350 eV/atom. Its density is 3.7 Mg/m³. Its final energy is -55.54 eV per cell.

The space group is P-3 (No. 147) and the conventional cell measures 5.9141, 5.9141 and 8.9650 Å, with angles of 90.00, 90.00 and 120.00 degrees. Symmetry generates all atoms from Ba at (0.0000, 0.0000, 0.0000), Co at (0.0000, 0.0000, 0.5000), As at (0.3333, 0.6667, 0.7116), S at (0.0285, 0.7182, 0.3417) and S at (0.3333, 0.6667, 0.9525).

6.
DFT (PBE) results for BaCoAsSe2 after structural relaxation.

Its density of states at the Fermi level is 4.67 states/eV/f.u. The energy relative to the elements, uncorrected is -0.620 eV/atom. Its density is 6.0 Mg/m³. Its final energy is -23.75 eV per cell.

The space group is P4/mmm (No. 123) and the conventional cell measures 5.217, 5.217 and 4.382 Å, with angles of 90.00, 90.00 and 90.00 degrees. Symmetry generates all atoms from Ba at (0.000, 0.000, 0.000), Co at (0.500, 0.500, 0.500), As at (0.500, 0.500, 0.000) and Se at (0.000, 0.500, 0.500).

7.
DFT (PBE) results for BaCoTcAs2 after structural relaxation.

Its density of states at the Fermi level is 2.75 states/eV/f.u. Its density is 6.9 Mg/m³. Its final energy is -63.35 eV per cell. The formation energy is -596 meV per atom.

The space group is I-4m2 (No. 119) and the conventional cell measures 4.077, 4.077 and 12.791 Å, with angles of 90.00, 90.00 and 90.00 degrees. Symmetry generates all atoms from Ba at (0.000, 0.000, 0.000), Co at (0.000, 0.500, 0.750), Tc at (0.000, 0.500, 0.250) and As at (0.000, 0.000, 0.350).

8.
DFT (PBE) results for Ba2VCoAs after structural relaxation.

Its density of states at the Fermi level is 5.62 states/eV/f.u. Its density is 4.2 Mg/m³. Its final energy is -21.85 eV per cell. The formation energy is 574 meV per atom.

The space group is P4/mmm (No. 123) and the conventional cell measures 6.237, 6.237 and 4.711 Å, with angles of 90.00, 90.00 and 90.00 degrees. Symmetry generates all atoms from Ba at (0.000, 0.500, 0.000), V at (0.000, 0.000, 0.000), Co at (0.500, 0.500, 0.500) and As at (0.000, 0.000, 0.500).

9.
DFT (PBE) results for BaZn2CoAs after structural relaxation.

Its density of states at the Fermi level is 2.88 states/eV/f.u. Its density is 6.2 Mg/m³. Its final energy is -17.66 eV per cell. The formation energy is -288 meV per atom.

The space group is P4/mmm (No. 123) and the conventional cell measures 4.785, 4.785 and 4.667 Å, with angles of 90.00, 90.00 and 90.00 degrees. Symmetry generates all atoms from Ba at (0.000, 0.000, 0.000), Zn at (0.000, 0.500, 0.500), Co at (0.500, 0.500, 0.500) and As at (0.500, 0.500, 0.000).

10.
DFT (PBE) results for Ba2CrAs after structural relaxation.

Its density of states at the Fermi level is 1.75 states/eV/f.u. Its density is 5.2 Mg/m³. Its final energy is -35.94 eV per cell. The formation energy is 37 meV per atom.

The space group is I-4m2 (No. 119) and the conventional cell measures 4.834, 4.834 and 11.045 Å, with angles of 90.00, 90.00 and 90.00 degrees. Symmetry generates all atoms from Ba at (0.000, 0.000, 0.000), Ba at (0.000, 0.500, 0.250), Cr at (0.000, 0.500, 0.750) and As at (0.000, 0.000, 0.500).

11.
DFT (PBE) results for Ba2CrAs after structural relaxation.

Its density of states at the Fermi level is 1.78 states/eV/f.u. Its density is 5.0 Mg/m³. Its final energy is -36.88 eV per cell. The formation energy is -80 meV per atom.

The space group is Cmmm (No. 65) and the conventional cell measures 7.823, 7.837 and 4.393 Å, with angles of 90.00, 90.00 and 90.00 degrees. Symmetry generates all atoms from Ba at (0.250, 0.250, 0.000), Cr at (0.000, 0.000, 0.500) and As at (0.000, 0.500, 0.500).

12.
DFT (PBE) results for BaCrAs2 after structural relaxation.

Its density of states at the Fermi level is 2.65 states/eV/f.u. Its density is 5.6 Mg/m³. The calculation puts the energy relative to the lowest polymorph listed for this composition at 2.211 eV per formula unit. Its final energy is -20.60 eV per cell. The formation energy is 62 meV per atom.

The space group is Pmmm (No. 47) and the conventional cell measures 4.310, 4.836 and 4.858 Å, with angles of 90.00, 90.00 and 90.00 degrees. Symmetry generates all atoms from Ba at (0.000, 0.000, 0.000), Cr at (0.000, 0.500, 0.500), As at (0.500, 0.000, 0.500) and As at (0.500, 0.500, 0.000).

13.
DFT (PBE) results for BaCrAs2 after structural relaxation.

Its density of states at the Fermi level is 0.11 states/eV/f.u. Its density is 5.0 Mg/m³. The calculation puts the energy relative to the lowest polymorph listed for this composition at 0.345 eV per formula unit. Its final energy is -89.85 eV per cell. The formation energy is -404 meV per atom.

The space group is I4_1/amd (No. 141, origin choice 2) and the conventional cell measures 5.665, 5.665 and 14.105 Å, with angles of 90.00, 90.00 and 90.00 degrees. Symmetry generates all atoms from Ba at (0.000, 0.250, 0.375), Cr at (0.000, 0.250, 0.875) and As at (0.000, 0.000, 0.000).

14.
DFT (PBE) results for BaCrAs2 after structural relaxation.

Its density of states at the Fermi level is 2.61 states/eV/f.u. Its density is 5.8 Mg/m³. The calculation puts the energy relative to the lowest polymorph listed for this composition at 0.000 eV per formula unit. Its final energy is -45.62 eV per cell. The formation energy is -491 meV per atom.

The space group is C2/m (No. 12) and the conventional cell measures 7.384, 4.090 and 6.847 Å, with angles of 90.00, 109.04 and 90.00 degrees. Symmetry generates all atoms from Ba at (0.000, 0.000, 0.000), Cr at (0.000, 0.500, 0.500) and As at (0.223, 0.000, 0.658).